Density functional theory data (PBE-GGA) for a geometry-optimized Cs5K4Au structure.

```
10
Lattice="-5.701 -4.242 1.801 3.826 -9.910 3.688 -2.550 1.688 10.821" Properties=species:S:1:pos:R:3 pbc="T T T"
Cs -1.768 -12.868 8.819
Cs -2.845 -2.117 0.899
Cs -0.960 -5.602 13.572
Cs -3.453 -6.853 2.735
Cs -2.645 0.413 7.488
K -4.017 -8.942 10.949
K -3.158 -4.498 9.217
K -0.397 -3.514 5.358
K -1.256 -7.957 7.090
Au -5.694 -4.237 1.799
```

Properties
- calculated density (g cm⁻³) = 2.0
- energy of formation (meV per atom) = -72.6
- total moment (μB per cell) = 0.00

Density functional theory data (PBE-GGA) for a geometry-optimized Cs5K4Au4 structure.

```
13
Lattice="0.084 -5.147 1.890 7.700 -5.044 -6.124 7.529 0.175 8.095" Properties=species:S:1:pos:R:3 pbc="T T T"
Cs 9.520 -3.403 6.217
Cs 0.000 0.000 0.000
Cs 3.038 -1.858 2.759
Cs 12.275 -8.158 1.102
Cs 5.793 -6.613 -2.355
K 6.228 -4.439 3.545
K 9.085 -5.577 0.317
K 5.903 -2.952 -0.347
K 9.410 -7.064 4.208
Au 6.596 -1.144 4.545
Au 3.871 -5.414 0.994
Au 8.717 -8.872 -0.684
Au 11.443 -4.602 2.867
```

Properties
- calculated density (g cm⁻³) = 4.2
- energy of formation (meV per atom) = -186.7
- total moment (μB per cell) = 0.00

Density functional theory data (PBE-GGA) for a geometry-optimized CsKAu4 structure.

```
6
Lattice="-3.555 2.083 2.199 0.013 -1.764 6.653 2.276 5.541 3.390" Properties=species:S:1:pos:R:3 pbc="T T T"
Au -0.530 5.607 8.711
Au 0.007 2.649 2.461
Au -1.272 3.211 9.781
Au -0.735 0.253 3.531
Cs -0.633 2.930 6.121
K 0.000 0.000 0.000
```

Properties
- calculated density (g cm⁻³) = 8.3
- energy of formation (meV per atom) = -227.9
- polymorph energy (0 for the lowest one) (eV per atom) = 0.000
- total moment (μB per cell) = 0.00

Density functional theory data (PBE-GGA) for a geometry-optimized CsK6Au2 structure.

```
9
Lattice="6.000 0.510 1.458 1.847 8.772 2.516 0.982 -0.309 9.254" Properties=species:S:1:pos:R:3 pbc="T T T"
Au 3.711 6.242 8.890
Au 5.117 2.730 4.337
Cs 6.000 0.510 1.458
K 6.887 7.876 8.425
K 6.608 4.950 10.596
K 1.941 1.096 4.802
K 4.554 5.961 5.519
K 2.220 4.022 2.631
K 4.274 3.011 7.708
```

Properties
- calculated density (g cm⁻³) = 2.7
- energy of formation (meV per atom) = -115.9
- polymorph energy (0 for the lowest one) (eV per atom) = 0.004
- total moment (μB per cell) = 0.00

Density functional theory data (PBE-GGA) for a geometry-optimized Cs12KAu5 structure.

```
18
Lattice="10.853 0.126 -4.217 -5.551 9.628 -3.477 -0.078 -0.126 11.644" Properties=species:S:1:pos:R:3 pbc="T T T"
Cs -0.026 3.621 0.038
Cs 3.520 6.561 -1.114
Cs -0.212 6.561 -3.685
Cs 8.324 1.663 3.803
Cs 1.976 -0.017 8.663
Cs 5.251 6.007 3.911
Cs 1.705 3.067 5.063
Cs 5.437 3.067 7.635
Cs 0.966 7.965 2.948
Cs 4.259 1.663 1.001
Cs 3.249 9.645 -4.714
Cs -3.099 7.965 0.147
K -2.814 4.751 4.083
Au 0.000 0.000 0.000
Au 2.068 3.804 -3.001
Au 4.789 1.011 4.582
Au 0.436 8.617 -0.632
Au 3.235 5.950 -4.694
```

Properties
- calculated density (g cm⁻³) = 3.6
- energy of formation (meV per atom) = -187.4
- total moment (μB per cell) = 0.00

Density functional theory data (PBE-GGA) for a geometry-optimized Cs3K2Au2 structure.

```
7
Lattice="-0.460 2.895 3.689 -4.423 -7.236 2.118 12.006 0.256 1.295" Properties=species:S:1:pos:R:3 pbc="T T T"
Au 1.344 -1.993 1.732
Au 5.779 -2.092 5.370
K 7.886 -2.111 2.639
K -0.763 -1.974 4.463
Cs 3.335 -4.310 3.798
Cs 3.788 0.225 3.304
Cs -0.230 1.447 1.845
```

Properties
- calculated density (g cm⁻³) = 3.5
- energy of formation (meV per atom) = -194.9
- polymorph energy (0 for the lowest one) (eV per atom) = 0.000
- total moment (μB per cell) = 0.00

Density functional theory data (PBE-GGA) for a geometry-optimized Cs3K4Au3 structure.

```
20
Lattice="10.275 0.000 -3.633 -5.138 8.899 -3.633 0.000 0.000 10.899" Properties=species:S:1:pos:R:3 pbc="T T T"
K 0.769 7.567 0.544
K 6.168 4.449 -4.906
K -1.800 5.781 4.177
K 1.031 4.449 -3.089
K 3.338 3.117 2.360
K 5.907 1.332 -1.273
K 0.000 0.000 9.267
K 0.000 0.000 3.818
Au -2.569 6.674 0.908
Au 0.642 3.337 4.541
Au 2.569 2.225 -0.908
Au 5.780 5.562 2.725
Au 7.064 1.112 6.358
Au 1.927 7.786 -2.725
Cs -1.927 7.786 -2.725
Cs -0.642 3.337 0.908
Cs 3.211 1.112 6.358
Cs 4.495 5.562 -0.908
Cs 7.707 2.225 2.725
Cs 2.569 6.674 4.541
```

Properties
- calculated density (g cm⁻³) = 3.8
- energy of formation (meV per atom) = -191.9
- total moment (μB per cell) = 0.00

Density functional theory data (PBE-GGA) for a geometry-optimized CsKAu2 structure.

```
4
Lattice="-6.867 -5.532 4.205 7.320 -6.294 -1.497 5.172 7.320 3.887" Properties=species:S:1:pos:R:3 pbc="T T T"
Au 9.487 0.779 1.816
Au 3.004 0.247 0.575
Cs 6.246 0.513 1.195
K 0.000 0.000 0.000
```

Properties
- calculated density (g cm⁻³) = 1.4
- energy of formation (meV per atom) = 111.6
- polymorph energy (0 for the lowest one) (eV per atom) = 0.419
- total moment (μB per cell) = 0.00

Density functional theory data (PBE-GGA) for a geometry-optimized Cs4K5Au structure.

```
10
Lattice="-2.232 -5.561 -3.324 6.915 -8.562 2.620 -7.396 -5.281 6.739" Properties=species:S:1:pos:R:3 pbc="T T T"
K -5.443 -4.499 4.134
K -2.972 -12.042 8.033
K 0.265 -7.351 -1.990
K -1.113 -2.774 -1.658
K 2.735 -14.894 1.909
Cs -0.560 -5.394 2.350
Cs 1.278 -10.301 2.264
Cs -2.148 -14.001 3.691
Cs -3.986 -9.094 3.778
Au -2.229 -5.555 -3.320
```

Properties
- calculated density (g cm⁻³) = 1.9
- energy of formation (meV per atom) = -48.1
- total moment (μB per cell) = 0.00

Density functional theory data (PBE-GGA) for a geometry-optimized Cs2KAu2 structure.

```
10
Lattice="9.742 0.000 0.000 0.000 9.742 0.000 0.000 0.000 4.807" Properties=species:S:1:pos:R:3 pbc="T T T"
Au 3.322 8.193 0.000
Au 1.549 3.322 0.000
Au 6.420 1.549 0.000
Au 8.193 6.420 0.000
K 4.871 4.871 0.000
K 0.000 0.000 0.000
Cs 3.480 1.391 2.403
Cs 8.351 3.480 2.403
Cs 1.391 6.262 2.403
Cs 6.262 8.351 2.403
```

Properties
- calculated density (g cm⁻³) = 5.1
- energy of formation (meV per atom) = -259.8
- polymorph energy (0 for the lowest one) (eV per atom) = 0.008
- total moment (μB per cell) = 0.00

Density functional theory data (PBE-GGA) for a geometry-optimized Cs2K5Au3 structure.

```
20
Lattice="-1.983 4.667 -0.408 -8.370 -3.139 4.765 8.358 2.190 16.124" Properties=species:S:1:pos:R:3 pbc="T T T"
Cs -3.272 -0.614 8.868
Cs -2.829 1.747 2.016
Cs 0.484 1.839 18.664
Cs 2.157 4.661 11.112
K 2.582 2.417 15.086
K -1.964 3.260 15.105
K 1.871 4.141 6.560
K -1.283 2.970 8.485
K -0.230 0.383 5.489
K -3.353 -0.243 13.499
K -4.233 -1.383 4.753
K -7.355 0.258 6.976
K -0.104 0.986 11.779
K 4.610 5.990 14.377
Au -7.633 -2.769 5.418
Au -3.471 1.815 5.908
Au 5.629 3.460 12.208
Au 1.806 1.541 8.842
Au -3.234 2.389 11.315
Au 2.142 5.175 17.054
```

Properties
- calculated density (g cm⁻³) = 3.7
- energy of formation (meV per atom) = -192.0
- total moment (μB per cell) = 0.00

Density functional theory data (PBE-GGA) for a geometry-optimized Cs3K3Au structure.

```
14
Lattice="-4.290 2.935 -6.987 -8.571 -1.356 -0.734 -7.161 14.549 5.081" Properties=species:S:1:pos:R:3 pbc="T T T"
Cs -12.524 14.175 -0.794
Cs -7.580 4.326 -6.225
Cs -12.442 11.802 3.584
Cs -8.239 13.694 1.698
Cs -11.783 2.435 -4.338
Cs -7.497 1.953 -1.847
K -13.190 9.187 -0.712
K -11.120 5.063 -0.097
K -11.114 7.473 -4.509
K -8.901 11.066 -2.544
K -8.908 8.656 1.869
K -6.832 6.942 -1.929
Au -15.734 15.601 -0.068
Au -4.287 0.528 -2.573
```

Properties
- calculated density (g cm⁻³) = 2.2
- energy of formation (meV per atom) = -92.1
- total moment (μB per cell) = 0.00